The following is a PBE calculation of an optimized crystal structure of Rb3Li2CaCl6, from the Alexandria database.

Geometry as POSCAR:
```
Rb3Li2CaCl6
1.0
7.494 0.000 0.000
-3.747 6.490 0.000
0.000 0.000 8.691
Li Ca Cl Rb
2 1 6 3
Direct
0.667 0.333 0.789
0.333 0.667 0.211
0.000 0.000 0.500
0.335 0.167 0.690
0.833 0.167 0.690
0.167 0.335 0.310
0.665 0.833 0.310
0.167 0.833 0.310
0.833 0.665 0.690
0.333 0.667 0.645
0.667 0.333 0.355
0.000 0.000 0.000
```

The following is a PBE calculation of an optimized crystal structure of Rb2LiCaCl5, from the Alexandria database.

Geometry as POSCAR:
```
Rb2LiCaCl5
1.0
-1.165 -2.565 -3.145
6.477 -5.333 4.784
-10.092 -5.141 7.932
Cl Li Ca Rb
10 2 2 4
Direct
0.289 0.579 0.657
0.711 0.421 0.157
0.312 0.624 0.392
0.501 0.003 0.790
0.942 0.885 0.524
0.688 0.376 0.892
0.058 0.115 0.024
0.346 0.692 0.004
0.654 0.308 0.504
0.499 0.997 0.290
0.560 0.120 0.937
0.440 0.880 0.437
0.796 0.591 0.524
0.204 0.409 0.024
0.130 0.259 0.322
0.870 0.741 0.822
0.103 0.206 0.674
0.897 0.794 0.174
```

no.,volume (Å³/f.u.),formation energy without anion corrections (kJ/mol of formula units)
1,422.7,-2092
2,275.1,-1808